Here is a relaxed structure of Sr2TaAuO6 from OQMD. Energies are from PBE-GGA.

Cell lengths 5.954, 5.954, 5.954 Å; angles 125.03, 125.03, 81.48 degrees
Atoms (fractional coordinates):
Au (0.000, 0.000, 0.000)
O (0.283, 0.283, 0.000)
O (0.717, 0.717, 0.000)
O (0.319, 0.815, 0.134)
O (0.815, 0.681, 0.496)
O (0.185, 0.319, 0.504)
O (0.681, 0.185, 0.866)
Sr (0.750, 0.250, 0.500)
Sr (0.250, 0.750, 0.500)
Ta (0.500, 0.500, 0.000)

Total DFT energy (no corrections) = -70.2 eV per formula unit

Here is a relaxed structure of SrTbAuO3 from OQMD. Energies are from PBE-GGA.

Cell lengths 6.735, 6.735, 8.630 Å; angles 90.00, 90.00, 148.31 degrees
Atoms (fractional coordinates):
Au (0.621, 0.379, 0.250)
Au (0.379, 0.621, 0.750)
O (0.614, 0.386, 0.016)
O (0.939, 0.061, 0.250)
O (0.614, 0.386, 0.484)
O (0.386, 0.614, 0.516)
O (0.061, 0.939, 0.750)
O (0.386, 0.614, 0.984)
Sr (0.321, 0.679, 0.250)
Sr (0.679, 0.321, 0.750)
Tb (0.000, 0.000, 0.000)
Tb (0.000, 0.000, 0.500)

Total DFT energy (no corrections) = -38.5 eV per formula unit

Here is a relaxed structure of Sr2TcAuO6 from OQMD. Energies are from PBE-GGA.

Cell lengths 5.395, 5.628, 5.793 Å; angles 62.45, 63.97, 89.77 degrees
Each line ends with the local moment (μB).
Atoms (fractional coordinates):
Au (0.000, 0.000, 0.500)  -0.02
O (0.742, 0.624, 0.091)  0.00
O (0.375, 0.847, 0.372)  0.00
O (0.194, 0.328, 0.497)  0.00
O (0.806, 0.672, 0.503)  0.00
O (0.625, 0.153, 0.628)  0.00
O (0.258, 0.376, 0.909)  0.00
Sr (0.236, 0.741, 0.031)  0.00
Sr (0.764, 0.259, 0.969)  0.00
Tc (0.500, 0.500, 0.500)  0.08

Total DFT energy (no corrections) = -63.6 eV per formula unit

Here is a relaxed structure of SrYAuO3 from OQMD. Energies are from PBE-GGA.

Cell lengths 3.673, 6.731, 8.619 Å; angles 90.00, 90.00, 74.17 degrees
Atoms (fractional coordinates):
Au (0.622, 0.756, 0.250)
Au (0.378, 0.244, 0.750)
O (0.614, 0.773, 0.016)
O (0.940, 0.120, 0.250)
O (0.614, 0.773, 0.484)
O (0.386, 0.227, 0.516)
O (0.060, 0.880, 0.750)
O (0.386, 0.227, 0.984)
Sr (0.321, 0.358, 0.250)
Sr (0.679, 0.642, 0.750)
Y (0.000, 0.000, 0.000)
Y (0.000, 0.000, 0.500)

Total DFT energy (no corrections) = -40.2 eV per formula unit

Here is a relaxed structure of Ta2AuO4 from OQMD. Energies are from PBE-GGA.

Cell lengths 6.426, 6.426, 6.426 Å; angles 119.99, 90.02, 119.99 degrees
Atoms (fractional coordinates):
Au (0.000, 0.000, 0.000)
Au (0.750, 0.500, 0.250)
O (0.190, 0.793, 0.397)
O (0.603, 0.207, 0.397)
O (0.603, 0.793, 0.397)
O (0.147, 0.293, 0.440)
O (0.603, 0.207, 0.810)
O (0.147, 0.707, 0.853)
O (0.147, 0.293, 0.853)
O (0.560, 0.707, 0.853)
Ta (0.375, 0.750, 0.125)
Ta (0.875, 0.250, 0.625)
Ta (0.375, 0.750, 0.625)
Ta (0.375, 0.250, 0.625)

Total DFT energy (no corrections) = -57.3 eV per formula unit

Here is a relaxed structure of Ta2Au2O5 from OQMD. Energies are from PBE-GGA.

Cell lengths 9.163, 3.357, 3.357 Å; angles 90.00, 90.00, 90.00 degrees
Atoms (fractional coordinates):
Au (0.174, 0.500, 0.500)
Au (0.826, 0.500, 0.500)
O (0.342, 0.500, 0.000)
O (0.658, 0.500, 0.000)
O (0.342, 0.000, 0.500)
O (0.658, 0.000, 0.500)
O (0.500, 0.500, 0.500)
Ta (0.000, 0.000, 0.000)
Ta (0.500, 0.000, 0.000)

Total DFT energy (no corrections) = -57.9 eV per formula unit